The following is a GGA-PBE calculation of an optimized crystal structure of CaCeSbPd, from Alexandria.

## Properties
The uncorrected formation energy comes out at -754 meV/atom. For the magnetic moment, the calculation gives 1.063 μB per formula unit.

Cell: 5.266 5.266 5.266 Å, 60.00 60.00 60.00°
Positions (direct):
Ca (0.000, 0.000, 0.000)
Ce (0.500, 0.500, 0.500)
Sb (0.750, 0.750, 0.750)
Pd (0.250, 0.250, 0.250)